Ba2InTe | Alexandria via LeMat-Bulk | PBE-GGA | optimized geometry; formation energy without anion corrections = -0.8402 eV per atom; E above lowest polymorph = 91 meV/atom; raw total energy = -13.09 eV/cell; DOS(E_F) = 3.99 states/eV/cell; crystal system = orthorhombic; total magnetization = 0.00 μB/f.u.
1.0
5.2669 0.0000 0.0000
0.0000 4.8443 0.0000
0.0000 0.0000 7.1016
Ba In Te
2 1 1
Direct
0.0000 0.0000 0.8752 Ba
0.5000 0.5000 0.3747 Ba
0.0000 0.0000 0.3755 In
0.5000 0.5000 0.8746 Te